1.
A plane-wave DFT calculation with GGA-PBE was carried out for a geometry-optimized ZrSe2Br structure.

Properties
relative energy among the computed polymorphs	455	meV per atom

Cell: 7.0471 7.0471 11.2606 Å, 90.00 90.00 90.00°
Closest atoms and distances in Å follow each position.
Atoms (fractional coordinates):
Zr 0.0000 0.0000 0.0000  4 Se 2.56
Zr 0.0000 0.5000 0.2500  4 Se 2.56
Zr 0.5000 0.0000 0.7500  4 Se 2.56
Zr 0.5000 0.5000 0.5000  4 Se 2.56
Se 0.1710 0.2500 0.1250  2 Zr 2.56
Se 0.2500 0.6710 0.3750  2 Zr 2.56
Se 0.2500 0.8290 0.8750  2 Zr 2.56
Se 0.3290 0.2500 0.6250  2 Zr 2.56
Se 0.6710 0.7500 0.6250  2 Zr 2.56
Se 0.7500 0.1710 0.8750  2 Zr 2.56
Se 0.7500 0.3290 0.3750  2 Zr 2.56
Se 0.8290 0.7500 0.1250  2 Zr 2.56
Br 0.0000 0.0000 0.5000  4 Se 3.23
Br 0.0000 0.5000 0.7500  4 Se 3.23
Br 0.5000 0.0000 0.2500  4 Se 3.23
Br 0.5000 0.5000 0.0000  4 Se 3.23



2.
A plane-wave DFT calculation with GGA-PBE was carried out for a geometry-optimized ZrSeBr2 structure.

Properties
relative energy among the computed polymorphs	803	meV per atom

Cell: 4.9870 4.9870 7.1068 Å, 90.00 90.00 90.00°
Closest atoms and distances in Å follow each position.
Atoms (fractional coordinates):
Zr 0.0000 0.0000 0.0000  4 Se 3.06, 4 Br 3.06
Zr 0.5000 0.5000 0.5000  4 Se 3.06, 4 Br 3.06
Se 0.0000 0.5000 0.2500  4 Zr 3.06, 4 Br 3.06
Se 0.5000 0.0000 0.7500  4 Zr 3.06, 4 Br 3.06
Br 0.0000 0.0000 0.5000  4 Se 3.06, 4 Br 3.06
Br 0.0000 0.5000 0.7500  4 Zr 3.06, 4 Br 3.06
Br 0.5000 0.0000 0.2500  4 Zr 3.06, 4 Br 3.06
Br 0.5000 0.5000 0.0000  4 Se 3.06, 4 Br 3.06



3.
A plane-wave DFT calculation with GGA-PBE was carried out for a geometry-optimized ZrSe2Br structure.

Properties
relative energy among the computed polymorphs	809	meV per atom

Cell: 4.0391 4.0391 5.2770 Å, 90.00 90.00 90.00°
Closest atoms and distances in Å follow each position.
Atoms (fractional coordinates):
Zr 0.0000 0.0000 0.0000  4 Br 2.86
Se 0.0000 0.5000 0.5000  4 Se 2.86
Se 0.5000 0.0000 0.5000  4 Se 2.86
Br 0.5000 0.5000 0.0000  4 Zr 2.86



4.
A plane-wave DFT calculation with GGA-PBE was carried out for a geometry-optimized ZrSe2Br structure.

Properties
relative energy among the computed polymorphs	67	meV per atom

Cell: 5.2275 3.8542 7.2426 Å, 90.00 111.12 90.00°
Closest atoms and distances in Å follow each position.
Atoms (fractional coordinates):
Zr 0.0000 0.0000 0.0000  4 Se 2.61-2.64, 2 Br 2.78
Se 0.4794 0.0000 0.9630  2 Zr 2.61-2.64
Se 0.8653 0.5000 0.7401  2 Zr 2.61
Br 0.1439 0.5000 0.2975  2 Zr 2.78



5.
A plane-wave DFT calculation with GGA-PBE was carried out for a geometry-optimized ZrSeBr2 structure.

Properties
relative energy among the computed polymorphs	1245	meV per atom

Cell: 3.4702 3.4702 39.3211 Å, 90.00 90.00 120.00°
Closest atoms and distances in Å follow each position.
Atoms (fractional coordinates):
Zr 0.0000 0.0000 0.0000  2 Br 2.48
Zr 0.3333 0.6667 0.6667  2 Br 2.48
Zr 0.6667 0.3333 0.3333  2 Br 2.48
Se 0.0000 0.0000 0.5000  6 Se 3.47
Se 0.3333 0.6667 0.1667  6 Se 3.47
Se 0.6667 0.3333 0.8333  6 Se 3.47
Br 0.0000 0.0000 0.0631  1 Zr 2.48
Br 0.0000 0.0000 0.9369  1 Zr 2.48
Br 0.3333 0.6667 0.6036  1 Zr 2.48
Br 0.3333 0.6667 0.7298  1 Zr 2.48
Br 0.6667 0.3333 0.2702  1 Zr 2.48
Br 0.6667 0.3333 0.3964  1 Zr 2.48



6.
A plane-wave DFT calculation with GGA-PBE was carried out for a geometry-optimized ZrSe2Br structure.

Properties
relative energy among the computed polymorphs	100	meV per atom

Cell: 3.8573 3.8573 25.4791 Å, 90.00 90.00 120.00°
Closest atoms and distances in Å follow each position.
Atoms (fractional coordinates):
Zr 0.0000 0.0000 0.0000  6 Se 2.72
Zr 0.3333 0.6667 0.6667  6 Se 2.72
Zr 0.6667 0.3333 0.3333  6 Se 2.72
Se 0.0000 0.0000 0.3948  1 Br 2.68, 3 Zr 2.72
Se 0.0000 0.0000 0.6052  1 Br 2.68, 3 Zr 2.72
Se 0.3333 0.6667 0.0615  1 Br 2.68, 3 Zr 2.72
Se 0.3333 0.6667 0.2718  1 Br 2.68, 3 Zr 2.72
Se 0.6667 0.3333 0.7282  1 Br 2.68, 3 Zr 2.72
Se 0.6667 0.3333 0.9385  1 Br 2.68, 3 Zr 2.72
Br 0.0000 0.0000 0.5000  2 Se 2.68
Br 0.3333 0.6667 0.1667  2 Se 2.68
Br 0.6667 0.3333 0.8333  2 Se 2.68



| no. | total moment (μB per atom) | ΔE_f (raw) (eV/atom) | electronic total energy (eV per atom) |
| --- | --- | --- | --- |
| 1 | 0.099 | -0.51 | -4.81 |
| 2 | 0.000 | -0.43 | -4.27 |
| 3 | 0.077 | -0.16 | -4.46 |
| 4 | 0.000 | -0.90 | -5.20 |
| 5 | 0.121 | 0.01 | -3.83 |
| 6 | 0.000 | -0.87 | -5.17 |